A plane-wave DFT calculation with PBE was carried out for Zn2FeCl after structural relaxation.

Unit cell a=2.963 b=3.722 c=6.540 alpha=90.00 beta=90.00 gamma=90.00
Fractional coordinates of all 4 atoms:
Zn1 0.000 0.000 0.000
Zn2 0.500 0.500 0.217
Fe1 0.500 0.500 0.842
Cl1 0.000 0.500 0.553

distance to the lowest polymorph of the same formula = 64 meV/atom
space group = Pmm2, No. 25

***

A plane-wave DFT calculation with PBE was carried out for TaP2Os after structural relaxation.

Unit cell a=6.048 b=6.048 c=6.048 alpha=90.00 beta=90.00 gamma=90.00
Fractional coordinates of all 16 atoms:
Ta1 0.000 0.000 0.000
Ta2 0.000 0.500 0.500
Ta3 0.500 0.000 0.500
Ta4 0.500 0.500 0.000
P1 0.250 0.250 0.250
P2 0.250 0.250 0.750
P3 0.250 0.750 0.250
P4 0.250 0.750 0.750
P5 0.750 0.250 0.250
P6 0.750 0.250 0.750
P7 0.750 0.750 0.250
P8 0.750 0.750 0.750
Os1 0.000 0.000 0.500
Os2 0.000 0.500 0.000
Os3 0.500 0.000 0.000
Os4 0.500 0.500 0.500

distance to the lowest polymorph of the same formula = 140 meV/atom
DFT formation energy = -177 meV/atom
space group = Fm-3m, No. 225

***

A plane-wave DFT calculation with PBE was carried out for Mg2ScUN4 after structural relaxation.

Unit cell a=5.472 b=3.331 c=5.646 alpha=90.00 beta=108.81 gamma=90.00
Fractional coordinates of all 8 atoms:
Mg1 0.000 0.000 0.000
Mg2 0.000 0.500 0.500
Sc1 0.500 0.000 0.500
U1 0.500 0.500 0.000
N1 0.258 0.000 0.752
N2 0.267 0.500 0.248
N3 0.733 0.500 0.752
N4 0.742 0.000 0.248

E = -8.0440 eV/atom
space group = P2/m, No. 10

***

A plane-wave DFT calculation with PBE was carried out for BeIn2Ni after structural relaxation.

Unit cell a=3.824 b=3.824 c=16.893 alpha=90.00 beta=90.00 gamma=120.00
Fractional coordinates of all 12 atoms:
Be1 0.000 0.000 0.000
Be2 0.333 0.667 0.667
Be3 0.667 0.333 0.333
In1 0.000 0.000 0.234
In2 0.000 0.000 0.430
In3 0.333 0.667 0.097
In4 0.333 0.667 0.901
In5 0.667 0.333 0.567
In6 0.667 0.333 0.764
Ni1 0.000 0.000 0.664
Ni2 0.333 0.667 0.330
Ni3 0.667 0.333 0.997

distance to the lowest polymorph of the same formula = 19 meV/atom
DFT formation energy = 84 meV/atom
space group = R3m, No. 160